Material: LiCu2As
Method: DFT, PBE
State: optimized geometry

- formation energy (kJ/mol of formula units) = -51.4
- spin magnetization (μB per atom) = 0.00
- crystal system = monoclinic
- uncorrected energy (eV per atom) = -3.82
- symmetry = No. 12

Cell: 4.4818 4.4818 4.4943 Å, 81.51 81.51 37.61°
Last column: nearest neighbours and their distance in Å.
Fractional coordinates of all 4 atoms:
Cu  0.9968  0.9968  0.9968  3 Li 2.52-2.68, 3 As 2.58-2.65, 4 Cu 2.64-2.70
Cu  0.5032  0.5032  0.5032  3 Li 2.52-2.68, 3 As 2.58-2.65, 4 Cu 2.64-2.70
As  0.2500  0.2500  0.2500  6 Cu 2.58-2.65, 4 Li 2.67, 2 As 2.89
Li  0.7500  0.7500  0.7500  6 Cu 2.52-2.68, 4 As 2.67